Run i
The following is a GGA-PBE calculation of PaSiMo2 after structural relaxation, from Alexandria via LeMat-Bulk.

The structure in CIF format:
```
data_PaSiMo2
_space_group_name_H-M_alt 'P 1'
_space_group_IT_number 1
_space_group_name_Hall 'P 1'
_cell_length_a 6.5090
_cell_length_b 6.5090
_cell_length_c 6.5090
_cell_angle_alpha 90.00
_cell_angle_beta 90.00
_cell_angle_gamma 90.00
loop_
_atom_site_label
_atom_site_type_symbol
_atom_site_fract_x
_atom_site_fract_y
_atom_site_fract_z
Pa1 Pa 0.0000 0.0000 0.0000
Pa2 Pa 0.0000 0.5000 0.5000
Pa3 Pa 0.5000 0.0000 0.5000
Pa4 Pa 0.5000 0.5000 0.0000
Si1 Si 0.0000 0.0000 0.5000
Si2 Si 0.0000 0.5000 0.0000
Si3 Si 0.5000 0.0000 0.0000
Si4 Si 0.5000 0.5000 0.5000
Mo1 Mo 0.2500 0.2500 0.2500
Mo2 Mo 0.2500 0.2500 0.7500
Mo3 Mo 0.2500 0.7500 0.2500
Mo4 Mo 0.2500 0.7500 0.7500
Mo5 Mo 0.7500 0.2500 0.2500
Mo6 Mo 0.7500 0.2500 0.7500
Mo7 Mo 0.7500 0.7500 0.2500
Mo8 Mo 0.7500 0.7500 0.7500
```

Summary:
calculated volume	276	Å³/cell
density	10.9	g/cm³
DOS(E_F)	4.151	states/eV/f.u.
space group	No. 225

---

Run ii
The following is a GGA-PBE calculation of PaSiMo2 after structural relaxation, from Alexandria via LeMat-Bulk.

The structure in CIF format:
```
data_PaSiMo2
_space_group_name_H-M_alt 'P 1'
_space_group_IT_number 1
_space_group_name_Hall 'P 1'
_cell_length_a 4.2177
_cell_length_b 5.6412
_cell_length_c 6.2388
_cell_angle_alpha 90.00
_cell_angle_beta 90.00
_cell_angle_gamma 90.00
loop_
_atom_site_label
_atom_site_type_symbol
_atom_site_fract_x
_atom_site_fract_y
_atom_site_fract_z
Pa1 Pa 0.2500 0.2500 0.0962
Pa2 Pa 0.7500 0.7500 0.9038
Si1 Si 0.2500 0.7500 0.2480
Si2 Si 0.7500 0.2500 0.7520
Mo1 Mo 0.2500 0.5197 0.6235
Mo2 Mo 0.2500 0.9803 0.6235
Mo3 Mo 0.7500 0.0197 0.3765
Mo4 Mo 0.7500 0.4803 0.3765
```

Summary:
calculated volume	148	Å³/cell
density	10.1	g/cm³
DOS(E_F)	4.334	states/eV/f.u.
space group	No. 59

---

Most stable structure among those shown: run ii. Next: +88 meV/atom.